Entry 1:
VASP calculation (PBE) on a relaxed structure of ZnGe2Pb2.

- formation energy from the elements (meV per atom) = 324
- DOS at the Fermi energy (states/eV/atom) = 0.43
- ΔE to the lowest computed polymorph (eV per formula unit) = 0.87
- calculated volume (Å³/f.u.) = 134.91
- mass density (g/cm³) = 7.7

abc: 8.022 8.022 4.193
angles: 90.00 90.00 90.00
Element x y z (fractional)
Pb  0.824  0.676  0.000
Pb  0.324  0.824  0.000
Pb  0.176  0.324  0.000
Pb  0.676  0.176  0.000
Zn  0.000  0.000  0.000
Zn  0.500  0.500  0.000
Ge  0.388  0.112  0.500
Ge  0.612  0.888  0.500
Ge  0.112  0.612  0.500
Ge  0.888  0.388  0.500

=====

Entry 2:
VASP calculation (PBE) on a relaxed structure of Ag2TeAs.

- DOS at the Fermi energy (states/eV/atom) = 0.41
- uncorrected formation energy (kJ/mol of formula units) = 55.8
- ΔE to the lowest computed polymorph (eV per formula unit) = 0.23
- calculated volume (Å³/f.u.) = 88.89
- mass density (g/cm³) = 7.8

abc: 3.398 3.155 8.292
angles: 90.00 90.00 90.00
Element x y z (fractional)
Ag  0.000  0.750  0.455
Ag  0.000  0.750  0.045
Te  0.500  0.750  0.750
As  0.500  0.250  0.250

=====

Entry 3:
VASP calculation (PBE) on a relaxed structure of La2BiPtO5.

- DOS at the Fermi energy (states/eV/atom) = 0.40
- uncorrected formation energy (kJ/mol of formula units) = -1719.9
- calculated volume (Å³/f.u.) = 141.91
- mass density (g/cm³) = 8.9

abc: 5.798 6.996 6.996
angles: 90.00 90.00 90.00
Site moments in Bohr magnetons follow the coordinates.
Element x y z (fractional)
La  0.500  0.825  0.675  0.00
La  0.500  0.175  0.325  0.00
La  0.500  0.325  0.825  0.00
La  0.500  0.675  0.175  0.00
O  0.500  0.000  0.000  0.00
O  0.500  0.500  0.500  0.00
O  0.250  0.358  0.142  0.01
O  0.750  0.858  0.358  0.01
O  0.250  0.142  0.642  0.01
O  0.750  0.642  0.858  0.01
O  0.750  0.142  0.642  0.01
O  0.750  0.358  0.142  0.01
O  0.250  0.642  0.858  0.01
O  0.250  0.858  0.358  0.01
Bi  0.000  0.000  0.000  0.09
Bi  0.000  0.500  0.500  0.09
Pt  0.000  0.500  0.000  0.00
Pt  0.000  0.000  0.500  0.00

=====

The lowest DOS at the Fermi energy belongs to which entry? La2BiPtO5